# TbCdRh

TbCdRh after structural relaxation (PBE, Alexandria).

Results
ΔH_f (0 K) in eV per atom: -0.48
Space-group type: F-43m (216)

Geometry as POSCAR:
```
TbCdRh
1.0
0.0000 3.2986 3.2986
3.2986 0.0000 3.2986
3.2986 3.2986 0.0000
Tb Cd Rh
1 1 1
direct
0.0000 0.0000 0.0000
0.5000 0.5000 0.5000
0.7500 0.7500 0.7500
```



# Tb2Cd3Rh2

Tb2Cd3Rh2 after structural relaxation (PBE, Alexandria).

Results
ΔH_f (0 K) in eV per atom: -0.50
Space-group type: C2/m (12)

Geometry as POSCAR:
```
Tb2Cd3Rh2
1.0
4.9874 -2.0642 0.0000
4.9874 2.0642 0.0000
-0.8925 0.0000 7.4411
Tb Cd Rh
2 3 2
direct
0.1244 0.1244 0.3627
0.8756 0.8756 0.6373
0.1937 0.1937 0.8682
0.5000 0.5000 0.0000
0.8063 0.8063 0.1318
0.4097 0.4097 0.3528
0.5903 0.5903 0.6472
```



# Tb5CdRh

Tb5CdRh after structural relaxation (PBE, Alexandria).

Results
ΔH_f (0 K) in eV per atom: -0.24
Space-group type: C2/c (15)

Geometry as POSCAR:
```
Tb5CdRh
1.0
4.5900 -3.7283 0.0000
4.5900 3.7283 0.0000
-3.2320 0.0000 11.4938
Tb Cd Rh
10 2 2
direct
0.0037 0.9963 0.7500
0.0822 0.4174 0.6246
0.2088 0.5393 0.9319
0.4174 0.0822 0.1246
0.4607 0.7912 0.5681
0.5393 0.2088 0.4319
0.5826 0.9178 0.8754
0.7912 0.4607 0.0681
0.9178 0.5826 0.3754
0.9963 0.0037 0.2500
0.4043 0.5957 0.2500
0.5957 0.4043 0.7500
0.0000 0.0000 0.0000
0.0000 0.0000 0.5000
```



# Tb6Cd3Rh

Tb6Cd3Rh after structural relaxation (PBE, Alexandria).

Results
ΔH_f (0 K) in eV per atom: -0.33
Space-group type: P2_1/m (11)

Geometry as POSCAR:
```
Tb6Cd3Rh
1.0
9.1062 0.0000 0.0000
0.0000 5.3055 0.0000
-3.6334 0.0000 10.8833
Tb Cd Rh
12 6 2
direct
0.0346 0.2500 0.4150
0.1842 0.7500 0.1644
0.2754 0.2500 0.0009
0.3509 0.7500 0.8301
0.3738 0.2500 0.3471
0.3946 0.2500 0.6467
0.6054 0.7500 0.3533
0.6262 0.7500 0.6529
0.6491 0.2500 0.1699
0.7246 0.7500 0.9991
0.8158 0.2500 0.8356
0.9654 0.7500 0.5850
0.0109 0.7500 0.8704
0.0866 0.2500 0.7177
0.2706 0.7500 0.4739
0.7294 0.2500 0.5261
0.9134 0.7500 0.2823
0.9891 0.2500 0.1296
0.4587 0.7500 0.0941
0.5413 0.2500 0.9059
```



# TbCdRh2

TbCdRh2 after structural relaxation (PBE, Alexandria).

Results
E above lowest polymorph in meV/atom: 31.9
ΔH_f (0 K) in eV per atom: -0.56
Space-group type: Fm-3m (225)

Geometry as POSCAR:
```
TbCdRh2
1.0
0.0000 3.3237 3.3237
3.3237 0.0000 3.3237
3.3237 3.3237 0.0000
Tb Cd Rh
1 1 2
direct
0.0000 0.0000 0.0000
0.5000 0.5000 0.5000
0.2500 0.2500 0.2500
0.7500 0.7500 0.7500
```



# Tb3CdRh

Tb3CdRh after structural relaxation (PBE, Alexandria).

Results
E above lowest polymorph in meV/atom: 0.0
ΔH_f (0 K) in eV per atom: -0.48
Space-group type: P-1 (2)

Geometry as POSCAR:
```
Tb3CdRh
1.0
5.5906 0.0000 0.0000
-2.5610 5.6452 0.0000
-1.5188 -2.7900 8.2419
Tb Cd Rh
6 2 2
direct
0.0568 0.1958 0.2764
0.2828 0.4244 0.7256
0.3029 0.8031 0.1061
0.6971 0.1969 0.8939
0.7172 0.5756 0.2744
0.9432 0.8042 0.7236
0.3428 0.7609 0.4978
0.6572 0.2391 0.5022
0.2484 0.2478 0.9973
0.7516 0.7522 0.0027
```



So what do the calculations give for E? Going down the list: -4.7746 -4.3157 -4.7301 -4.1216 -5.6257 -4.9134 eV/atom.